LiNi2Te GGA-PBE relaxed; V = 14.66 Å³ per atom; symmetry = No. 99; energy relative to the elements, uncorrected = -14 meV/atom
1.0
-0.4926 0.7933 -3.2789
-3.3434 -0.5563 0.3678
-0.6649 4.8357 1.2698
Li Ni Te
1 2 1
Cartesian
-2.4351 3.8789 -0.4681 Li
-0.6585 4.7895 1.2577 Ni
-2.0864 1.3433 -1.1340 Ni
-0.3182 2.3144 0.6077 Te